# 1
KLi2Y: relaxed, PBE-GGA.

a = 4.0986 Å, b = 5.6453 Å, c = 11.4773 Å
α = 90.00°, β = 90.00°, γ = 90.00°
Atoms (fractional coordinates):
K 0.0000 0.0000 0.0000
K 0.5000 0.5000 0.0000
Li 0.0000 0.5000 0.2781
Li 0.0000 0.5000 0.7219
Li 0.5000 0.0000 0.2781
Li 0.5000 0.0000 0.7219
Y 0.0000 0.0000 0.5000
Y 0.5000 0.5000 0.5000

Output
SG: Cmmm (65)
Crystal system: orthorhombic
Total DFT energy (no corrections), eV/cell: -20.8
Magnetic moment, μB/f.u.: 0.0



# 2
Ta2SiTe: relaxed, PBE-GGA.

a = 3.4522 Å, b = 3.4522 Å, c = 6.2010 Å
α = 90.00°, β = 90.00°, γ = 90.00°
Atoms (fractional coordinates):
Ta 0.0000 0.0000 0.0000
Ta 0.5000 0.5000 0.2855
Si 0.5000 0.5000 0.8457
Te 0.0000 0.0000 0.5166

Output
SG: P4mm (99)
Crystal system: tetragonal
Total DFT energy (no corrections), eV/cell: -33.0
Distance to the lowest polymorph of the same formula, eV per atom: 0.000
Magnetic moment, μB/f.u.: 0.0



# 3
V4CrTc2: relaxed, PBE-GGA.

a = 5.8877 Å, b = 5.8877 Å, c = 5.9338 Å
α = 90.00°, β = 90.00°, γ = 90.00°
Atoms (fractional coordinates):
V 0.2500 0.2500 0.2500
V 0.2500 0.2500 0.7500
V 0.2500 0.7500 0.2500
V 0.2500 0.7500 0.7500
V 0.7500 0.2500 0.2500
V 0.7500 0.2500 0.7500
V 0.7500 0.7500 0.2500
V 0.7500 0.7500 0.7500
Cr 0.0000 0.0000 0.0000
Cr 0.5000 0.5000 0.5000
Tc 0.0000 0.5000 0.0000
Tc 0.0000 0.5000 0.5000
Tc 0.5000 0.0000 0.0000
Tc 0.5000 0.0000 0.5000

Output
SG: I4/mmm (139)
Crystal system: tetragonal
Total DFT energy (no corrections), eV/cell: -132.3
Distance to the lowest polymorph of the same formula, eV per atom: 0.000
Magnetic moment, μB/f.u.: 0.0



# 4
Sc5TlPt4: relaxed, PBE-GGA.

a = 3.3313 Å, b = 3.3313 Å, c = 17.1545 Å
α = 90.00°, β = 90.00°, γ = 90.00°
Atoms (fractional coordinates):
Sc 0.0000 0.0000 0.0000
Sc 0.0000 0.0000 0.1900
Sc 0.0000 0.0000 0.3786
Sc 0.0000 0.0000 0.6214
Sc 0.0000 0.0000 0.8100
Tl 0.5000 0.5000 0.5000
Pt 0.5000 0.5000 0.0950
Pt 0.5000 0.5000 0.2871
Pt 0.5000 0.5000 0.7129
Pt 0.5000 0.5000 0.9050

Output
SG: P4/mmm (123)
Crystal system: tetragonal
Total DFT energy (no corrections), eV/cell: -68.6
Magnetic moment, μB/f.u.: 0.0



# 5
CePmY3Er: relaxed, PBE-GGA.

a = 6.4004 Å, b = 6.4004 Å, c = 11.7209 Å
α = 90.00°, β = 90.00°, γ = 125.55°
Atoms (fractional coordinates):
Ce 0.0036 0.9964 0.7500
Ce 0.9964 0.0036 0.2500
Pm 0.5000 0.5000 0.0000
Pm 0.5000 0.5000 0.5000
Y 0.1703 0.8297 0.0038
Y 0.1703 0.8297 0.4962
Y 0.3271 0.6729 0.7500
Y 0.6729 0.3271 0.2500
Y 0.8297 0.1703 0.5038
Y 0.8297 0.1703 0.9962
Er 0.3311 0.6689 0.2500
Er 0.6689 0.3311 0.7500

Output
SG: Cmcm (63)
Crystal system: orthorhombic
Total DFT energy (no corrections), eV/cell: -67.5
Magnetic moment, μB/f.u.: 1.4



# 6
YPuGaPb: relaxed, PBE-GGA.

a = 7.4802 Å, b = 7.4802 Å, c = 7.4802 Å
α = 90.00°, β = 90.00°, γ = 90.00°
Atoms (fractional coordinates):
Y 0.0000 0.0000 0.0000
Y 0.0000 0.5000 0.5000
Y 0.5000 0.0000 0.5000
Y 0.5000 0.5000 0.0000
Pu 0.0000 0.0000 0.5000
Pu 0.0000 0.5000 0.0000
Pu 0.5000 0.0000 0.0000
Pu 0.5000 0.5000 0.5000
Ga 0.2500 0.2500 0.7500
Ga 0.2500 0.7500 0.2500
Ga 0.7500 0.2500 0.2500
Ga 0.7500 0.7500 0.7500
Pb 0.2500 0.2500 0.2500
Pb 0.2500 0.7500 0.7500
Pb 0.7500 0.2500 0.7500
Pb 0.7500 0.7500 0.2500

Output
SG: F-43m (216)
Crystal system: cubic
Total DFT energy (no corrections), eV/cell: -114.8
Magnetic moment, μB/f.u.: 6.0



# 7
Th2VCd: relaxed, PBE-GGA.

a = 3.2925 Å, b = 3.2925 Å, c = 33.9840 Å
α = 90.00°, β = 90.00°, γ = 120.00°
Atoms (fractional coordinates):
Th 0.0000 0.0000 0.0820
Th 0.0000 0.0000 0.9180
Th 0.3333 0.6667 0.5847
Th 0.3333 0.6667 0.7487
Th 0.6667 0.3333 0.2513
Th 0.6667 0.3333 0.4153
V 0.0000 0.0000 0.0000
V 0.3333 0.6667 0.6667
V 0.6667 0.3333 0.3333
Cd 0.0000 0.0000 0.5000
Cd 0.3333 0.6667 0.1667
Cd 0.6667 0.3333 0.8333

Output
SG: R-3m (166)
Crystal system: trigonal
Total DFT energy (no corrections), eV/cell: -67.8
Distance to the lowest polymorph of the same formula, eV per atom: 0.410
Magnetic moment, μB/f.u.: 2.7



# 8
PmAlSnHg: relaxed, PBE-GGA.

a = 7.3675 Å, b = 7.3675 Å, c = 7.3675 Å
α = 90.00°, β = 90.00°, γ = 90.00°
Atoms (fractional coordinates):
Pm 0.0000 0.0000 0.0000
Pm 0.0000 0.5000 0.5000
Pm 0.5000 0.0000 0.5000
Pm 0.5000 0.5000 0.0000
Al 0.0000 0.0000 0.5000
Al 0.0000 0.5000 0.0000
Al 0.5000 0.0000 0.0000
Al 0.5000 0.5000 0.5000
Sn 0.2500 0.2500 0.7500
Sn 0.2500 0.7500 0.2500
Sn 0.7500 0.2500 0.2500
Sn 0.7500 0.7500 0.7500
Hg 0.2500 0.2500 0.2500
Hg 0.2500 0.7500 0.7500
Hg 0.7500 0.2500 0.7500
Hg 0.7500 0.7500 0.2500

Output
SG: F-43m (216)
Crystal system: cubic
Total DFT energy (no corrections), eV/cell: -54.4
Magnetic moment, μB/f.u.: 0.0



# 9
PmPaCoN3: relaxed, PBE-GGA.

a = 7.1746 Å, b = 3.4198 Å, c = 7.2949 Å
α = 90.00°, β = 100.10°, γ = 90.00°
Atoms (fractional coordinates):
Pm 0.1652 0.2500 0.2082
Pm 0.8348 0.7500 0.7918
Pa 0.3384 0.7500 0.8196
Pa 0.6616 0.2500 0.1804
Co 0.0978 0.2500 0.5737
Co 0.9022 0.7500 0.4263
N 0.1309 0.2500 0.8599
N 0.1718 0.7500 0.4715
N 0.4324 0.7500 0.1387
N 0.5676 0.2500 0.8613
N 0.8282 0.2500 0.5285
N 0.8691 0.7500 0.1401

Output
SG: P2_1/m (11)
Crystal system: monoclinic
Total DFT energy (no corrections), eV/cell: -105.6
Magnetic moment, μB/f.u.: 0.0



# 10
MnCuP: relaxed, PBE-GGA.

a = 3.6213 Å, b = 3.6213 Å, c = 5.7187 Å
α = 90.00°, β = 90.00°, γ = 90.00°
Atoms (fractional coordinates):
Mn 0.2500 0.7500 0.0000
Mn 0.7500 0.2500 0.0000
Cu 0.2500 0.2500 0.3496
Cu 0.7500 0.7500 0.6504
P 0.2500 0.2500 0.7493
P 0.7500 0.7500 0.2507

Output
SG: P4/nmm (129)
Crystal system: tetragonal
Total DFT energy (no corrections), eV/cell: -39.1
Distance to the lowest polymorph of the same formula, eV per atom: 0.000
Magnetic moment, μB/f.u.: 1.3



# 11
Na2ScGe: relaxed, PBE-GGA.

a = 4.0362 Å, b = 4.0362 Å, c = 23.6306 Å
α = 90.00°, β = 90.00°, γ = 90.00°
Atoms (fractional coordinates):
Na 0.2295 0.2500 0.1250
Na 0.2500 0.7295 0.3750
Na 0.2500 0.7705 0.8750
Na 0.2705 0.2500 0.6250
Na 0.7295 0.7500 0.6250
Na 0.7500 0.2295 0.8750
Na 0.7500 0.2705 0.3750
Na 0.7705 0.7500 0.1250
Sc 0.0000 0.0000 0.5000
Sc 0.0000 0.5000 0.7500
Sc 0.5000 0.0000 0.2500
Sc 0.5000 0.5000 0.0000
Ge 0.0000 0.0000 0.0000
Ge 0.0000 0.5000 0.2500
Ge 0.5000 0.0000 0.7500
Ge 0.5000 0.5000 0.5000

Output
SG: I-42d (122)
Crystal system: tetragonal
Total DFT energy (no corrections), eV/cell: -54.2
Magnetic moment, μB/f.u.: 0.0



# 12
Ac6Hg3PtRh2: relaxed, PBE-GGA.

a = 7.5164 Å, b = 7.5164 Å, c = 8.5768 Å
α = 98.39°, β = 98.39°, γ = 119.89°
Atoms (fractional coordinates):
Ac 0.0920 0.4313 0.7944
Ac 0.2280 0.2280 0.2031
Ac 0.4313 0.0920 0.7944
Ac 0.5687 0.9080 0.2056
Ac 0.7720 0.7720 0.7969
Ac 0.9080 0.5687 0.2056
Hg 0.0000 0.0000 0.5000
Hg 0.3376 0.6624 0.5000
Hg 0.6624 0.3376 0.5000
Pt 0.5000 0.5000 0.0000
Rh 0.1671 0.8329 0.0000
Rh 0.8329 0.1671 0.0000

Output
SG: C2/m (12)
Crystal system: monoclinic
Total DFT energy (no corrections), eV/cell: -54.5
Magnetic moment, μB/f.u.: 0.0